Ac2DyY (GGA-PBE, optimized geometry); E above lowest polymorph = 200 meV/atom; formation energy = 0.2444 eV/atom; final energy = -18.305 eV for the cell shown
1.0
3.7100 0.0000 0.0000
1.8550 3.2130 0.0000
1.8550 1.0710 13.0473
Dy Ac Y
1 2 1
Direct
0.0000 0.0000 0.0000
0.9118 0.9118 0.2645
0.0882 0.0882 0.7355
0.5000 0.5000 0.5000